# 1
DFT (PBE) results for a geometry-optimized Ac2HgIrO6 structure.

Unit cell a=5.8112 b=5.8112 c=5.8112 alpha=64.57 beta=64.57 gamma=64.57
Closest atoms and distances in Å follow each position.
Positions (direct):
Ac  0.2383  0.2383  0.2383  6 O 2.47-2.70
Ac  0.7617  0.7617  0.7617  6 O 2.47-2.70
Hg  0.5000  0.5000  0.5000  6 O 2.42
Ir  0.0000  0.0000  0.0000  6 O 2.04
O  0.1232  0.3325  0.7968  1 Ir 2.04
O  0.2032  0.8768  0.6675  1 Ir 2.04
O  0.3325  0.7968  0.1232  1 Ir 2.04
O  0.6675  0.2032  0.8768  1 Ir 2.04
O  0.7968  0.1232  0.3325  1 Ir 2.04
O  0.8768  0.6675  0.2032  1 Ir 2.04

Properties
* formation energy from raw total energies: -1.9186 eV/atom
* space-group type: R-3


# 2
DFT (PBE) results for a geometry-optimized Ac2HgIrO8 structure.

Unit cell a=4.2982 b=5.4347 c=7.6662 alpha=85.50 beta=89.67 gamma=85.98
Closest atoms and distances in Å follow each position.
Positions (direct):
Ac  0.1813  0.0018  0.2503  7 O 2.52-2.77
Ac  0.8187  0.9982  0.7497  7 O 2.52-2.77
Hg  0.5000  0.5000  0.0000  2 O 2.04
Ir  0.5000  0.5000  0.5000  6 O 1.90-1.92
O  0.2357  0.4601  0.3074  1 Ir 1.90
O  0.2450  0.7879  0.5564  1 Ir 1.92
O  0.2656  0.8364  0.9477  1 Hg 2.04
O  0.2800  0.2847  0.6546  1 Ir 1.90
O  0.7200  0.7153  0.3454  1 Ir 1.90
O  0.7344  0.1636  0.0523  1 Hg 2.04
O  0.7550  0.2121  0.4436  1 Ir 1.92
O  0.7643  0.5399  0.6926  1 Ir 1.90

Properties
* formation energy from raw total energies: -1.6650 eV/atom
* space-group type: P-1


# 3
DFT (PBE) results for a geometry-optimized Ac8Hg4Ir3O structure.

Unit cell a=8.5633 b=8.5633 c=9.5736 alpha=116.54 beta=116.54 gamma=59.86
Closest atoms and distances in Å follow each position.
Positions (direct):
Ac  0.2271  0.7404  0.6949  1 O 2.89, 2 Ir 2.97
Ac  0.2306  0.2306  0.6977  1 O 2.94, 2 Ir 2.96
Ac  0.2596  0.7729  0.3051  1 O 2.89, 2 Ir 2.97
Ac  0.2653  0.2653  0.2958  3 Ir 2.98-2.99
Ac  0.7347  0.7347  0.7042  3 Ir 2.98-2.99
Ac  0.7404  0.2271  0.6949  1 O 2.89, 2 Ir 2.97
Ac  0.7694  0.7694  0.3023  1 O 2.94, 2 Ir 2.96
Ac  0.7729  0.2596  0.3051  1 O 2.89, 2 Ir 2.97
Hg  0.0000  0.0000  0.0000  6 Ac 3.47-3.49
Hg  0.0000  0.5000  0.0000  6 Ac 3.46-3.50
Hg  0.5000  0.0000  0.0000  6 Ac 3.46-3.50
Hg  0.5000  0.5000  0.0000  6 Ac 3.53-3.56
Ir  0.0000  0.5000  0.5000  6 Ac 2.96-2.98
Ir  0.5000  0.0000  0.5000  6 Ac 2.96-2.98
Ir  0.5000  0.5000  0.5000  6 Ac 2.97-2.99
O  0.0000  0.0000  0.5000  6 Ac 2.89-2.94

Properties
* formation energy from raw total energies: -0.7952 eV/atom
* space-group type: C2/m


# 4
DFT (PBE) results for a geometry-optimized Ac5Hg2IrO structure.

Unit cell a=10.0093 b=10.0093 c=14.4528 alpha=90.00 beta=90.00 gamma=155.11
Closest atoms and distances in Å follow each position.
Positions (direct):
Ac  0.0038  0.9962  0.5000  1 O 2.40
Ac  0.1494  0.8506  0.7313  1 Ir 2.92
Ac  0.1869  0.8131  0.1018  1 O 2.72, 2 Ir 2.98
Ac  0.2070  0.7930  0.3835  2 Ir 2.97
Ac  0.4553  0.5447  0.7288  2 O 2.46
Ac  0.5447  0.4553  0.2288  2 O 2.46
Ac  0.7930  0.2070  0.8835  2 Ir 2.97
Ac  0.8131  0.1869  0.6018  1 O 2.72, 2 Ir 2.98
Ac  0.8506  0.1494  0.2313  1 Ir 2.92
Ac  0.9962  0.0038  0.0000  1 O 2.40
Hg  0.3680  0.6320  0.0496  7 Ac 3.38-3.62
Hg  0.3854  0.6146  0.4126  7 Ac 3.41-3.76
Hg  0.6146  0.3854  0.9126  7 Ac 3.41-3.76
Hg  0.6320  0.3680  0.5496  7 Ac 3.38-3.62
Ir  0.2987  0.7013  0.7423  6 Ac 2.92-3.07
Ir  0.7013  0.2987  0.2423  6 Ac 2.92-3.07
O  0.0518  0.9482  0.1480  3 Ac 2.40-2.46
O  0.9482  0.0518  0.6480  3 Ac 2.40-2.46

Properties
* formation energy from raw total energies: -1.0103 eV/atom
* space-group type: Cmc2_1


# 5
DFT (PBE) results for a geometry-optimized Ac4Hg2PIr structure.

Unit cell a=7.8003 b=4.3452 c=8.4081 alpha=90.00 beta=106.51 gamma=90.00
Closest atoms and distances in Å follow each position.
Positions (direct):
Ac  0.2264  0.0000  0.2042  2 Ir 3.01, 1 P 3.10
Ac  0.2512  0.5000  0.7922  1 Ir 2.97, 2 P 3.10
Ac  0.7488  0.5000  0.2078  1 Ir 2.97, 2 P 3.10
Ac  0.7736  0.0000  0.7958  2 Ir 3.01, 1 P 3.10
Hg  0.0000  0.0000  0.5000  6 Ac 3.44
Hg  0.5000  0.5000  0.5000  6 Ac 3.53-3.54
P  0.5000  0.0000  0.0000  6 Ac 3.10
Ir  0.0000  0.5000  0.0000  6 Ac 2.97-3.01

Properties
* space-group type: P2/m
* total DFT energy (no corrections): -4.63 eV per atom


# 6
DFT (PBE) results for a geometry-optimized Ac8Hg3PIr3 structure.

Unit cell a=8.8217 b=8.8217 c=9.4193 alpha=117.98 beta=117.98 gamma=59.98
Closest atoms and distances in Å follow each position.
Positions (direct):
Ac  0.2286  0.7388  0.7062  2 Ir 3.00, 1 P 3.07
Ac  0.2345  0.2345  0.7034  3 Ir 3.01
Ac  0.2610  0.2610  0.2936  2 Ir 3.00, 1 P 3.07
Ac  0.2612  0.7714  0.2938  2 Ir 3.00, 1 P 3.07
Ac  0.7388  0.2286  0.7062  2 Ir 3.00, 1 P 3.07
Ac  0.7390  0.7390  0.7064  2 Ir 3.00, 1 P 3.07
Ac  0.7655  0.7655  0.2966  3 Ir 3.01
Ac  0.7714  0.2612  0.2938  2 Ir 3.00, 1 P 3.07
Hg  0.0000  0.5000  0.0000  6 Ac 3.46-3.47
Hg  0.5000  0.0000  0.0000  6 Ac 3.46-3.47
Hg  0.5000  0.5000  0.0000  6 Ac 3.46-3.47
P  0.5000  0.5000  0.5000  6 Ac 3.07
Ir  0.0000  0.0000  0.5000  6 Ac 3.00-3.01
Ir  0.0000  0.5000  0.5000  6 Ac 3.00-3.01
Ir  0.5000  0.0000  0.5000  6 Ac 3.00-3.01

Properties
* space-group type: C2/m
* total DFT energy (no corrections): -5.02 eV per atom


Number 1: total magnetic moment 0.10 μB per atom, V 15.3 Å³/atom. Number 2: total magnetic moment 0.00 μB per atom, V 14.8 Å³/atom. Number 3: total magnetic moment 0.00 μB per atom, V 32.5 Å³/atom. Number 4: total magnetic moment 0.00 μB per atom, V 33.9 Å³/atom. Number 5: total magnetic moment 0.00 μB per atom, V 34.2 Å³/atom. Number 6: total magnetic moment 0.00 μB per atom, V 35.6 Å³/atom.